# 1
An optimized crystal structure of Re2Tc3Rh. Source: the Alexandria database, functional PBE.

abc: 5.133 5.134 7.541
angles: 90.05 90.04 115.93
Atoms (fractional coordinates):
Re  0.123  0.371  0.082
Re  0.371  0.124  0.582
Re  0.629  0.876  0.418
Re  0.877  0.629  0.918
Tc  0.124  0.875  0.250
Tc  0.125  0.376  0.416
Tc  0.377  0.125  0.916
Tc  0.623  0.875  0.084
Tc  0.875  0.624  0.584
Tc  0.876  0.125  0.750
Rh  0.377  0.624  0.750
Rh  0.623  0.376  0.250

Results
E_form ... 84 meV/atom

***

# 2
An optimized crystal structure of ReTcRh2. Source: the Alexandria database, functional PBE.

abc: 9.030 9.030 9.030
angles: 17.44 17.44 17.44
Atoms (fractional coordinates):
Re  0.000  0.000  0.000
Tc  0.500  0.500  0.500
Rh  0.250  0.250  0.250
Rh  0.750  0.750  0.750

Results
E_form ... -25 meV/atom

***

# 3
An optimized crystal structure of ReTc4Rh. Source: the Alexandria database, functional PBE.

abc: 6.967 6.967 6.967
angles: 143.94 77.30 114.30
Atoms (fractional coordinates):
Re  0.413  0.163  0.250
Re  0.587  0.837  0.750
Tc  0.130  0.503  0.627
Tc  0.167  0.167  0.000
Tc  0.333  0.833  0.500
Tc  0.376  0.503  0.873
Tc  0.624  0.497  0.127
Tc  0.667  0.167  0.500
Tc  0.833  0.833  0.000
Tc  0.870  0.497  0.373
Rh  0.085  0.835  0.250
Rh  0.915  0.165  0.750

Results
E_form ... 72 meV/atom

***

> E_form of number 2 (ReTcRh2)?

-25 meV/atom

***

Copy entry 1 word for word.
An optimized crystal structure of Re2Tc3Rh. Source: the Alexandria database, functional PBE.

abc: 5.133 5.134 7.541
angles: 90.05 90.04 115.93
Atoms (fractional coordinates):
Re  0.123  0.371  0.082
Re  0.371  0.124  0.582
Re  0.629  0.876  0.418
Re  0.877  0.629  0.918
Tc  0.124  0.875  0.250
Tc  0.125  0.376  0.416
Tc  0.377  0.125  0.916
Tc  0.623  0.875  0.084
Tc  0.875  0.624  0.584
Tc  0.876  0.125  0.750
Rh  0.377  0.624  0.750
Rh  0.623  0.376  0.250

Results
E_form ... 84 meV/atom

***

> E_form of number 1 (Re2Tc3Rh)?

84 meV/atom